This record from Alexandria describes LaNiAu11 after structural relaxation. The functional is PBE-GGA.

abc: 5.5603 7.2176 7.3591
angles: 81.45 67.80 66.84
Closest atoms and distances in Å follow each position.
Fractional coordinates of all 13 atoms:
La: 0.0000 0.0000 0.0000  18 Au 3.29-3.68, 2 Ni 3.59
Ni: 0.5000 0.5000 0.0000  10 Au 2.71-2.79
Au: 0.2969 0.2177 0.2095  1 Ni 2.71, 7 Au 2.76-2.96
Au: 0.7031 0.7823 0.7905  1 Ni 2.71, 7 Au 2.76-2.96
Au: 0.4935 0.7823 0.2095  1 Ni 2.71, 7 Au 2.76-2.96
Au: 0.5065 0.2177 0.7905  1 Ni 2.71, 7 Au 2.76-2.96
Au: 0.3643 0.6438 0.6648  1 Ni 2.79, 6 Au 2.90-3.00
Au: 0.6357 0.3562 0.3352  1 Ni 2.79, 6 Au 2.90-3.00
Au: 0.9709 0.3562 0.6648  1 Ni 2.79, 6 Au 2.90-3.00
Au: 0.0291 0.6438 0.3352  1 Ni 2.79, 6 Au 2.90-3.00
Au: 0.0000 0.5000 0.0000  8 Au 2.76-2.90, 2 Ni 2.78
Au: 0.5000 0.0000 0.5000  10 Au 2.78-3.00
Au: 0.0000 0.0000 0.5000  10 Au 2.78-3.00

Properties
Energy relative to the elements (eV/f.u.): -2.82
DOS(E_F) (states/eV per atom): 0.318

=====

This record from Alexandria describes NaSmSi after structural relaxation. The functional is PBE-GGA.

abc: 3.8302 4.3531 10.0393
angles: 77.48 90.00 90.00
Closest atoms and distances in Å follow each position.
Fractional coordinates of all 6 atoms:
Si: 0.7500 0.4613 0.0774  2 Si 2.44
Si: 0.2500 0.5387 0.9226  2 Si 2.44
Na: 0.7500 0.2974 0.4053  1 Si 3.21, 4 Na 3.44
Na: 0.2500 0.7026 0.5947  1 Si 3.21, 4 Na 3.44
Sm: 0.7500 0.0777 0.8446  6 Si 3.00-3.15
Sm: 0.2500 0.9223 0.1554  6 Si 3.00-3.15

Properties
ΔE_f (raw) (meV/atom): -380
DOS(E_F) (states/eV per atom): 0.650

=====

This record from Alexandria describes CrSnI2 after structural relaxation. The functional is PBE-GGA.

abc: 5.2265 5.2265 5.2265
angles: 60.00 60.00 60.00
Closest atoms and distances in Å follow each position.
Fractional coordinates of all 4 atoms:
I: 0.2500 0.2500 0.2500  4 Cr 3.20, 4 Sn 3.20
I: 0.7500 0.7500 0.7500  4 Sn 3.20, 4 Cr 3.20
Cr: 0.0000 0.0000 0.0000  8 I 3.20
Sn: 0.5000 0.5000 0.5000  8 I 3.20

Properties
ΔE_f (raw) (meV/atom): 952
Polymorph energy (0 for the lowest one) (meV/atom): 722
DOS(E_F) (states/eV per atom): 2.639

=====

This record from Alexandria describes Ag2SbI4 after structural relaxation. The functional is PBE-GGA.

abc: 7.3617 7.3617 7.0942
angles: 121.26 121.26 90.00
Closest atoms and distances in Å follow each position.
Fractional coordinates of all 7 atoms:
Ag: 0.7500 0.2500 0.5000  4 I 2.93
Ag: 0.2500 0.7500 0.5000  4 I 2.93
Sb: 0.5000 0.5000 0.0000  4 I 3.05
I: 0.8873 0.3393 0.2265  2 Ag 2.93, 1 Sb 3.05
I: 0.3393 0.8873 0.2265  2 Ag 2.93, 1 Sb 3.05
I: 0.6607 0.6607 0.7735  2 Ag 2.93, 1 Sb 3.05
I: 0.1127 0.1127 0.7735  2 Ag 2.93, 1 Sb 3.05

Properties
ΔE_f (raw) (meV/atom): -78
DOS(E_F) (states/eV per atom): 0.028

=====

This record from Alexandria describes KAuCl4 after structural relaxation. The functional is PBE-GGA.

abc: 6.0852 6.0852 6.0852
angles: 60.00 60.00 60.00
Closest atoms and distances in Å follow each position.
Fractional coordinates of all 6 atoms:
K: 0.7500 0.7500 0.7500  12 Cl 3.57, 4 Au 3.73
Au: 0.0000 0.0000 0.0000  12 Cl 3.57, 4 K 3.73
Cl: 0.8758 0.3747 0.3747  6 Cl 3.04-3.05
Cl: 0.3747 0.3747 0.8758  6 Cl 3.04-3.05
Cl: 0.3747 0.8758 0.3747  6 Cl 3.04-3.05
Cl: 0.3747 0.3747 0.3747  6 Cl 3.04-3.05

Properties
ΔE_f (raw) (meV/atom): 60
DOS(E_F) (states/eV per atom): 0.603

=====

This record from Alexandria describes DyErRh after structural relaxation. The functional is PBE-GGA.

abc: 4.4970 4.4970 7.9047
angles: 106.52 106.52 90.02
Closest atoms and distances in Å follow each position.
Fractional coordinates of all 6 atoms:
Dy: 0.3142 0.3142 0.1286  1 Rh 2.71
Dy: 0.6858 0.6858 0.8714  1 Rh 2.71
Er: 0.0000 0.5000 0.5000  4 Rh 2.91, 4 Er 3.18
Er: 0.5000 0.0000 0.5000  4 Rh 2.91, 4 Er 3.18
Rh: 0.8729 0.8729 0.2454  1 Dy 2.71, 4 Er 2.91
Rh: 0.1271 0.1271 0.7546  1 Dy 2.71, 4 Er 2.91

Properties
Energy relative to the elements (eV/f.u.): -1.70
Polymorph energy (0 for the lowest one) (meV/atom): 41
DOS(E_F) (states/eV per atom): 0.926

=====

This record from Alexandria describes La5Pm2Dy4 after structural relaxation. The functional is PBE-GGA.

abc: 3.5804 11.8110 9.1833
angles: 93.75 101.24 90.00
Closest atoms and distances in Å follow each position.
Fractional coordinates of all 11 atoms:
La: 0.9045 0.4663 0.8090  4 Dy 3.34-3.65, 3 La 3.48-3.58, 3 Pm 3.56-3.64
La: 0.0955 0.5337 0.1910  4 Dy 3.34-3.65, 3 La 3.48-3.58, 3 Pm 3.56-3.64
La: 0.8238 0.9274 0.6477  4 Dy 3.51-3.71, 6 La 3.58-3.72, 2 Pm 3.77
La: 0.5000 0.0000 0.0000  6 Dy 3.58, 6 La 3.58-3.69
La: 0.1762 0.0726 0.3523  4 Dy 3.51-3.71, 6 La 3.58-3.72, 2 Pm 3.77
Pm: 0.7167 0.3509 0.4334  5 La 3.56-3.77, 2 Pm 3.58, 4 Dy 3.69-3.85
Pm: 0.2833 0.6491 0.5666  5 La 3.56-3.77, 2 Pm 3.58, 4 Dy 3.69-3.85
Dy: 0.3600 0.2009 0.7199  6 La 3.55-3.71, 4 Dy 3.58-3.63, 2 Pm 3.69
Dy: 0.9668 0.7392 0.9335  5 La 3.34-3.58, 4 Dy 3.58-3.63
Dy: 0.6400 0.7991 0.2801  6 La 3.55-3.71, 4 Dy 3.58-3.63, 2 Pm 3.69
Dy: 0.0332 0.2608 0.0665  5 La 3.34-3.58, 4 Dy 3.58-3.63

Properties
Energy relative to the elements (eV/f.u.): 0.80
Polymorph energy (0 for the lowest one) (meV/atom): 0
DOS(E_F) (states/eV per atom): 1.484

=====

This record from Alexandria describes SmTiO3 after structural relaxation. The functional is PBE-GGA.

abc: 3.2212 6.0519 7.2210
angles: 90.00 90.00 105.45
Closest atoms and distances in Å follow each position.
Fractional coordinates of all 10 atoms:
Sm: 0.2159 0.9320 0.2500  8 O 2.42-2.56
Sm: 0.7841 0.0680 0.7500  8 O 2.42-2.56
Ti: 0.9541 0.4085 0.2500  4 O 1.82-2.01
Ti: 0.0459 0.5915 0.7500  4 O 1.82-2.01
O: 0.8446 0.1894 0.0706  1 Ti 1.82
O: 0.1554 0.8106 0.9294  1 Ti 1.82
O: 0.8446 0.1894 0.4294  1 Ti 1.82
O: 0.1554 0.8106 0.5706  1 Ti 1.82
O: 0.5573 0.6153 0.2500  2 Ti 2.01
O: 0.4427 0.3847 0.7500  2 Ti 2.01

Properties
ΔE_f (raw) (meV/atom): -2949
DOS(E_F) (states/eV per atom): 0.151

=====

This record from Alexandria describes Er5Pa3Sb8 after structural relaxation. The functional is PBE-GGA.

abc: 8.7078 8.7078 8.7313
angles: 60.09 60.09 60.00
Closest atoms and distances in Å follow each position.
Fractional coordinates of all 16 atoms:
Er: 0.5000 0.0000 0.0000  6 Sb 3.06-3.07
Er: 0.5000 0.5000 0.0000  6 Sb 3.06-3.07
Er: 0.0000 0.0000 0.0000  6 Sb 3.08
Er: 0.0000 0.5000 0.0000  6 Sb 3.06-3.07
Er: 0.5000 0.5000 0.5000  6 Sb 3.08
Pa: 0.5000 0.0000 0.5000  6 Sb 3.10
Pa: 0.0000 0.0000 0.5000  6 Sb 3.10
Pa: 0.0000 0.5000 0.5000  6 Sb 3.10
Sb: 0.2500 0.2500 0.7521  4 Er 3.07-3.08, 2 Pa 3.10
Sb: 0.2500 0.7479 0.7521  4 Er 3.07-3.08, 2 Pa 3.10
Sb: 0.7479 0.2500 0.7521  4 Er 3.07-3.08, 2 Pa 3.10
Sb: 0.7484 0.7484 0.7549  3 Er 3.06, 3 Pa 3.10
Sb: 0.7500 0.7500 0.2479  4 Er 3.07-3.08, 2 Pa 3.10
Sb: 0.7500 0.2521 0.2479  4 Er 3.07-3.08, 2 Pa 3.10
Sb: 0.2521 0.7500 0.2479  4 Er 3.07-3.08, 2 Pa 3.10
Sb: 0.2516 0.2516 0.2451  3 Er 3.06, 3 Pa 3.10

Properties
ΔE_f (raw) (meV/atom): -836
DOS(E_F) (states/eV per atom): 1.211

=====

This record from Alexandria describes Ba3ReO8 after structural relaxation. The functional is PBE-GGA.

abc: 5.9179 5.9179 7.1193
angles: 114.56 114.56 90.00
Closest atoms and distances in Å follow each position.
Fractional coordinates of all 12 atoms:
Ba: 0.7500 0.2500 0.5000  8 O 2.73
Ba: 0.5000 0.5000 0.0000  8 O 2.78
Ba: 0.2500 0.7500 0.5000  8 O 2.73
Re: 0.0000 0.0000 0.0000  8 O 2.04
O: 0.3007 0.3007 0.2042  1 Re 2.04
O: 0.3007 0.9035 0.2042  1 Re 2.04
O: 0.0965 0.6993 0.7958  1 Re 2.04
O: 0.0965 0.0965 0.7958  1 Re 2.04
O: 0.9035 0.9035 0.2042  1 Re 2.04
O: 0.9035 0.3007 0.2042  1 Re 2.04
O: 0.6993 0.0965 0.7958  1 Re 2.04
O: 0.6993 0.6993 0.7958  1 Re 2.04

Properties
ΔE_f (raw) (meV/atom): -1547
DOS(E_F) (states/eV per atom): 0.565

=====

This record from Alexandria describes Tm3Sc2Ir2 after structural relaxation. The functional is PBE-GGA.

abc: 3.7192 6.0873 8.4309
angles: 113.60 90.00 107.79
Closest atoms and distances in Å follow each position.
Fractional coordinates of all 7 atoms:
Tm: 0.5000 0.0000 0.0000  4 Ir 2.88
Tm: 0.6165 0.2329 0.4325  3 Ir 2.82-2.87
Tm: 0.3835 0.7671 0.5675  3 Ir 2.82-2.87
Sc: 0.8315 0.6630 0.1824  2 Ir 2.65
Sc: 0.1685 0.3370 0.8176  2 Ir 2.65
Ir: 0.8151 0.6302 0.7726  2 Sc 2.65, 5 Tm 2.82-2.88
Ir: 0.1849 0.3698 0.2274  2 Sc 2.65, 5 Tm 2.82-2.88

Properties
Energy relative to the elements (eV/f.u.): -4.58
DOS(E_F) (states/eV per atom): 0.851

=====

- Which value of DOS(E_F) does entry 10 give?
  0.565 states/eV per atom

=====

What did the fourth record say?
This record from Alexandria describes Ag2SbI4 after structural relaxation. The functional is PBE-GGA.

abc: 7.3617 7.3617 7.0942
angles: 121.26 121.26 90.00
Closest atoms and distances in Å follow each position.
Fractional coordinates of all 7 atoms:
Ag: 0.7500 0.2500 0.5000  4 I 2.93
Ag: 0.2500 0.7500 0.5000  4 I 2.93
Sb: 0.5000 0.5000 0.0000  4 I 3.05
I: 0.8873 0.3393 0.2265  2 Ag 2.93, 1 Sb 3.05
I: 0.3393 0.8873 0.2265  2 Ag 2.93, 1 Sb 3.05
I: 0.6607 0.6607 0.7735  2 Ag 2.93, 1 Sb 3.05
I: 0.1127 0.1127 0.7735  2 Ag 2.93, 1 Sb 3.05

Properties
ΔE_f (raw) (meV/atom): -78
DOS(E_F) (states/eV per atom): 0.028

=====

- The highest DOS(E_F) belongs to which entry?
  CrSnI2

=====

- Which of these has the lowest DOS(E_F)?
  Ag2SbI4